DyY3Pd4: relaxed, GGA-PBE.

The structure in POSCAR format:
```
DyY3Pd4
1.0
5.608 0.000 0.000
0.000 4.561 0.000
-0.013 0.000 6.974
Pd Y Dy
4 3 1
direct
0.348 0.000 0.960 Pd
0.845 0.500 0.539 Pd
0.154 0.000 0.457 Pd
0.653 0.500 0.044 Pd
0.858 0.000 0.818 Y
0.358 0.500 0.682 Y
0.142 0.500 0.182 Y
0.642 0.000 0.318 Dy
```

Values from the calculation:
Symmetry ... Pm, No. 6
VASP energy ... -6.5062 eV/atom
Calculated formation energy ... -0.92 eV/atom

***

DyZnPd: relaxed, GGA-PBE.

The structure in POSCAR format:
```
DyZnPd
1.0
-1.379 3.211 6.323
-5.449 -1.951 -4.325
-0.134 -3.498 1.747
Pd Dy Zn
3 3 3
direct
0.667 0.333 0.000 Pd
0.333 0.667 0.000 Pd
0.000 0.000 0.500 Pd
0.407 0.407 0.500 Dy
0.593 0.000 0.500 Dy
0.000 0.593 0.500 Dy
0.000 0.249 0.000 Zn
0.249 0.000 0.000 Zn
0.751 0.751 0.000 Zn
```

Values from the calculation:
Symmetry ... P-62m, No. 189
VASP energy ... -4.4345 eV/atom
Calculated formation energy ... -0.75 eV/atom

***

DyZnPd: relaxed, GGA-PBE.

The structure in POSCAR format:
```
DyZnPd
1.0
-2.255 0.947 -3.734
3.508 -2.756 -0.149
-4.196 -5.403 1.163
Zn Dy Pd
2 2 2
direct
0.333 0.667 0.497 Zn
0.667 0.333 0.997 Zn
0.000 0.000 0.250 Dy
0.000 0.000 0.750 Dy
0.667 0.333 0.503 Pd
0.333 0.667 0.003 Pd
```

Values from the calculation:
Symmetry ... P6_3mc, No. 186
VASP energy ... -4.3890 eV/atom
Calculated formation energy ... -0.71 eV/atom

***

DyZnPd: relaxed, GGA-PBE.

The structure in POSCAR format:
```
DyZnPd
1.0
4.453 0.000 0.000
-2.227 3.856 0.000
0.000 0.000 7.000
Pd Dy Zn
2 2 2
direct
0.333 0.667 0.750 Pd
0.667 0.333 0.250 Pd
0.000 0.000 0.000 Dy
0.000 0.000 0.500 Dy
0.333 0.667 0.250 Zn
0.667 0.333 0.750 Zn
```

Values from the calculation:
Symmetry ... P6_3/mmc, No. 194
VASP energy ... -4.3893 eV/atom
Calculated formation energy ... -0.71 eV/atom

***

Dy3Zn2Pd: relaxed, GGA-PBE.

The structure in POSCAR format:
```
Dy3Zn2Pd
1.0
3.563 0.000 0.000
0.000 3.563 0.000
0.000 0.000 10.480
Dy Zn Pd
3 2 1
direct
0.500 0.500 0.000 Dy
0.500 0.500 0.338 Dy
0.500 0.500 0.662 Dy
0.000 0.000 0.835 Zn
0.000 0.000 0.165 Zn
0.000 0.000 0.500 Pd
```

Values from the calculation:
Symmetry ... P4/mmm, No. 123
VASP energy ... -4.1326 eV/atom
Calculated formation energy ... -0.55 eV/atom

***

DyZnPd: relaxed, GGA-PBE.

The structure in POSCAR format:
```
DyZnPd
1.0
4.798 0.000 0.000
-2.399 4.155 0.000
0.000 0.000 5.854
Zn Dy Pd
2 2 2
direct
0.667 0.333 0.750 Zn
0.333 0.667 0.250 Zn
0.333 0.667 0.750 Dy
0.667 0.333 0.250 Dy
0.000 0.000 0.000 Pd
0.000 0.000 0.500 Pd
```

Values from the calculation:
Symmetry ... P6_3/mmc, No. 194
VASP energy ... -4.1662 eV/atom
Calculated formation energy ... -0.49 eV/atom

***

Dy2Zn3Pd4: relaxed, GGA-PBE.

The structure in POSCAR format:
```
Dy2Zn3Pd4
1.0
2.795 -7.570 0.000
2.795 7.570 0.000
0.000 0.000 7.630
Dy Zn Pd
4 6 8
direct
0.113 0.887 0.920 Dy
0.887 0.113 0.080 Dy
0.387 0.613 0.420 Dy
0.613 0.387 0.580 Dy
0.478 0.022 0.250 Zn
0.022 0.478 0.750 Zn
0.978 0.522 0.250 Zn
0.500 0.500 0.000 Zn
0.000 0.000 0.500 Zn
0.522 0.978 0.750 Zn
0.307 0.193 0.250 Pd
0.177 0.823 0.524 Pd
0.323 0.677 0.024 Pd
0.807 0.693 0.250 Pd
0.693 0.807 0.750 Pd
0.677 0.323 0.976 Pd
0.823 0.177 0.476 Pd
0.193 0.307 0.750 Pd
```

Values from the calculation:
Symmetry ... Cmce, No. 64
VASP energy ... -4.4875 eV/atom
Calculated formation energy ... -0.74 eV/atom

***

DyZnPd: relaxed, GGA-PBE.

The structure in POSCAR format:
```
DyZnPd
1.0
7.188 0.000 0.000
-3.594 6.225 0.000
0.000 0.000 3.901
Pd Dy Zn
3 3 3
direct
0.253 0.000 0.000 Pd
0.000 0.253 0.000 Pd
0.747 0.747 0.000 Pd
0.000 0.593 0.500 Dy
0.593 0.000 0.500 Dy
0.407 0.407 0.500 Dy
0.667 0.333 0.000 Zn
0.000 0.000 0.500 Zn
0.333 0.667 0.000 Zn
```

Values from the calculation:
Symmetry ... P-62m, No. 189
VASP energy ... -4.3324 eV/atom
Calculated formation energy ... -0.65 eV/atom

***

DyZrZn2Pd4: relaxed, GGA-PBE.

The structure in POSCAR format:
```
DyZrZn2Pd4
1.0
4.616 0.000 0.000
0.000 4.616 0.000
0.000 0.000 6.548
Dy Pd Zn Zr
1 4 2 1
direct
0.000 0.000 0.000 Dy
0.500 0.000 0.737 Pd
0.000 0.500 0.263 Pd
0.500 0.000 0.263 Pd
0.000 0.500 0.737 Pd
0.500 0.500 0.000 Zn
0.000 0.000 0.500 Zn
0.500 0.500 0.500 Zr
```

Values from the calculation:
Symmetry ... P4/mmm, No. 123
VASP energy ... -5.2406 eV/atom
Calculated formation energy ... -0.69 eV/atom

***

DyZrPd: relaxed, GGA-PBE.

The structure in POSCAR format:
```
DyZrPd
1.0
0.000 3.343 3.343
3.343 0.000 3.343
3.343 3.343 0.000
Dy Zr Pd
1 1 1
direct
0.500 0.500 0.500 Dy
0.000 0.000 0.000 Zr
0.250 0.250 0.250 Pd
```

Values from the calculation:
Symmetry ... F-43m, No. 216
VASP energy ... -6.3168 eV/atom
Calculated formation energy ... -0.21 eV/atom

***

PmDy2: relaxed, GGA-PBE.

The structure in POSCAR format:
```
PmDy2
1.0
4.440 2.563 7.250
-4.440 2.563 7.250
0.000 -5.127 7.250
Pm Dy
2 4
direct
0.250 0.250 0.250 Pm
0.500 0.500 0.500 Pm
0.375 0.875 0.375 Dy
0.875 0.375 0.375 Dy
0.375 0.375 0.875 Dy
0.375 0.375 0.375 Dy
```

Values from the calculation:
Symmetry ... Fd-3m, No. 227
VASP energy ... -2.1340 eV/atom
Calculated formation energy ... 2.52 eV/atom

***

PmDy2: relaxed, GGA-PBE.

The structure in POSCAR format:
```
PmDy2
1.0
-5.371 -3.637 -1.146
-5.254 2.710 -2.906
-1.585 -1.681 -6.169
Pm Dy
2 4
direct
0.000 0.000 0.000 Pm
0.250 0.250 0.250 Pm
0.625 0.625 0.125 Dy
0.625 0.125 0.625 Dy
0.625 0.625 0.625 Dy
0.125 0.625 0.625 Dy
```

Values from the calculation:
Symmetry ... Fd-3m, No. 227
VASP energy ... -4.3686 eV/atom
Calculated formation energy ... 0.28 eV/atom

***

Number 1: magnetization 0.0 μB per cell. Number 2: magnetization 0.0 μB per cell. Number 3: magnetization 0.0 μB per cell. Number 4: magnetization 0.0 μB per cell. Number 5: magnetization 0.0 μB per cell. Number 6: magnetization 0.0 μB per cell. Number 7: magnetization 0.0 μB per cell. Number 8: magnetization 0.0 μB per cell. Number 9: magnetization 0.0 μB per cell. Number 10: magnetization 0.1 μB per cell. Number 11: magnetization 0.0 μB per cell. Number 12: magnetization 1.2 μB per cell.